Entry 1:
First-principles (PBE) data for an optimized crystal structure of Fe3Te4, as listed in OQMD.

Cell lengths 9.8768, 9.8768, 10.8137 Å; angles 90.00, 90.00, 120.00 degrees
With the nearest neighbours (Å) after each atom.
Space group R-3 (No. 148, hexagonal axes)
Asymmetric unit:
Fe 0.0077 0.8559 0.4004 (multiplicity 18)  4 Fe 2.53-2.60, 5 Te 2.58-2.67
Te 0.0000 0.0000 0.2039 (multiplicity 6)  3 Fe 2.58
Te 0.0139 0.6413 0.2554 (multiplicity 18)  4 Fe 2.58-2.67

## Properties
**Mass density**: 7.4 g/cm³

Entry 2:
First-principles (PBE) data for an optimized crystal structure of FeTe2, as listed in OQMD.

Cell lengths 3.7234, 3.7234, 6.1435 Å; angles 90.00, 90.00, 120.00 degrees
With the nearest neighbours (Å) after each atom.
Space group P-3m1 (No. 164)
Asymmetric unit:
Fe 0.0000 0.0000 0.0000 (multiplicity 1)  6 Te 2.59
Te 0.3333 0.6667 0.2343 (multiplicity 2)  3 Fe 2.59

## Properties
**Mass density**: 7.0 g/cm³

Calculated total magnetization, 26.8; 1.3 μB/cell (same order as the records).
Calculated VASP energy, -5.45; -4.92 eV per atom (same order as the records).